Record 1
The following is a DFT calculation (GGA-PBE) of a relaxed NaIn5Ag crystal.

Computed properties:
N(E_F) = 2.76 states/eV per cell
DFT formation energy = -46 meV per atom
SG = No. 123
total moment = 0.00 μB per atom

abc: 4.860 4.860 7.645
angles: 90.00 90.00 90.00
Fractional positions:
Na 0.000 0.000 0.000
In 0.000 0.500 0.286
In 0.000 0.500 0.714
In 0.500 0.000 0.286
In 0.500 0.000 0.714
In 0.500 0.500 0.000
Ag 0.000 0.000 0.500

Record 2
The following is a DFT calculation (GGA-PBE) of a relaxed Ba4CdPt crystal.

Computed properties:
N(E_F) = 12.36 states/eV per cell
DFT formation energy = -385 meV per atom
energy above the most stable polymorph in this dataset = 0 meV per atom
SG = No. 15
total moment = 0.00 μB per atom

abc: 10.058 10.058 7.966
angles: 107.55 107.55 117.75
Fractional positions:
Ba 0.065 0.655 0.864
Ba 0.204 0.281 0.728
Ba 0.281 0.204 0.228
Ba 0.345 0.935 0.636
Ba 0.655 0.065 0.364
Ba 0.719 0.796 0.772
Ba 0.796 0.719 0.272
Ba 0.935 0.345 0.136
Cd 0.372 0.628 0.250
Cd 0.628 0.372 0.750
Pt 0.071 0.929 0.750
Pt 0.929 0.071 0.250

Record 3
The following is a DFT calculation (GGA-PBE) of a relaxed Ac2Ce3SmSe6 crystal.

Computed properties:
N(E_F) = 20.27 states/eV per cell
uncorrected formation energy = -1.82 eV/atom
SG = No. 12
total moment = 0.28 μB per atom

abc: 9.612 9.612 8.639
angles: 103.33 103.33 25.69
Fractional positions:
Ac 0.165 0.165 0.331
Ac 0.835 0.835 0.669
Ce 0.168 0.168 0.835
Ce 0.500 0.500 0.500
Ce 0.832 0.832 0.165
Sm 0.500 0.500 0.000
Se 0.005 0.005 0.755
Se 0.335 0.335 0.929
Se 0.336 0.336 0.407
Se 0.664 0.664 0.593
Se 0.665 0.665 0.071
Se 0.995 0.995 0.245

Record 4
The following is a DFT calculation (GGA-PBE) of a relaxed FeIrN3 crystal.

Computed properties:
N(E_F) = 3.62 states/eV per cell
uncorrected formation energy = 1.59 eV/atom
SG = No. 221
total moment = 0.00 μB per atom

abc: 3.627 3.627 3.627
angles: 90.00 90.00 90.00
Fractional positions:
Fe 0.000 0.000 0.000
Ir 0.500 0.500 0.500
N 0.000 0.000 0.500
N 0.000 0.500 0.000
N 0.500 0.000 0.000

Record 5
The following is a DFT calculation (GGA-PBE) of a relaxed InGaPb2 crystal.

Computed properties:
N(E_F) = 1.86 states/eV per cell
DFT formation energy = 65 meV per atom
energy above the most stable polymorph in this dataset = 19 meV per atom
SG = No. 225
total moment = 0.00 μB per atom

abc: 5.383 5.383 5.383
angles: 60.00 60.00 60.00
Fractional positions:
In 0.000 0.000 0.000
Ga 0.500 0.500 0.500
Pb 0.250 0.250 0.250
Pb 0.750 0.750 0.750

Record 6
The following is a DFT calculation (GGA-PBE) of a relaxed PaTe6Pd crystal.

Computed properties:
N(E_F) = 6.09 states/eV per cell
uncorrected formation energy = -0.21 eV/atom
SG = No. 2
total moment = 0.00 μB per atom

abc: 6.612 6.612 6.630
angles: 69.98 69.94 70.01
Fractional positions:
Pa 0.000 0.000 0.000
Te 0.075 0.454 0.709
Te 0.291 0.924 0.547
Te 0.455 0.710 0.075
Te 0.545 0.290 0.925
Te 0.709 0.076 0.453
Te 0.925 0.546 0.291
Pd 0.500 0.500 0.500

Record 7
The following is a DFT calculation (GGA-PBE) of a relaxed LiTbNdPd crystal.

Computed properties:
N(E_F) = 2.97 states/eV per cell
DFT formation energy = -351 meV per atom
SG = No. 216
total moment = 0.00 μB per atom

abc: 5.125 5.125 5.125
angles: 60.00 60.00 60.00
Fractional positions:
Li 0.000 0.000 0.000
Tb 0.750 0.750 0.750
Nd 0.250 0.250 0.250
Pd 0.500 0.500 0.500

Record 8
The following is a DFT calculation (GGA-PBE) of a relaxed KAsAu3 crystal.

Computed properties:
N(E_F) = 1.42 states/eV per cell
DFT formation energy = -110 meV per atom
energy above the most stable polymorph in this dataset = 90 meV per atom
SG = No. 221
total moment = 0.00 μB per atom

abc: 5.105 5.105 5.105
angles: 90.00 90.00 90.00
Fractional positions:
K 0.000 0.000 0.000
As 0.500 0.500 0.500
Au 0.000 0.500 0.500
Au 0.500 0.000 0.500
Au 0.500 0.500 0.000